[1]
Here is a PBEsol-optimized structure of ScOs2Ru from Alexandria via LeMat-Bulk. Energies are from SCAN.

Lattice parameters (Å, degrees): 9.4046 2.8002 4.6076 90.00 101.60 90.00
With the nearest neighbours (Å) after each atom.
Space group C2/m (No. 12)
Asymmetric unit:
Sc 0.0000 0.0000 0.0000 x2  4 Ru 2.70, 6 Os 2.72-2.91, 2 Sc 2.80
Os 0.2341 0.0000 0.7349 x4  6 Os 2.65-2.80, 3 Ru 2.65-2.92, 3 Sc 2.72-2.91
Ru 0.0000 0.5000 0.5000 x2  6 Os 2.65-2.92, 4 Sc 2.70, 2 Ru 2.80

Output
Formation enthalpy at 0 K, eV/atom: -0.066
Raw total energy, eV per cell: -386.176
Size of the total moment, μB per cell: 0.0

=====

[2]
Here is a PBEsol-optimized structure of ScOs3Ru from Alexandria via LeMat-Bulk. Energies are from SCAN.

Lattice parameters (Å, degrees): 4.4553 4.4553 4.4553 90.00 90.00 90.00
With the nearest neighbours (Å) after each atom.
Space group Pm-3m (No. 221)
Asymmetric unit:
Sc 0.0000 0.0000 0.0000 x1  6 Os 2.23
Os 0.0000 0.0000 0.5000 x3  2 Sc 2.23
Ru 0.5000 0.5000 0.5000 x1  12 Os 3.15

Output
Formation enthalpy at 0 K, eV/atom: 2.655
Raw total energy, eV per cell: -251.426
Size of the total moment, μB per cell: 1.7

=====

[3]
Here is a PBEsol-optimized structure of OsRuSe2 from Alexandria via LeMat-Bulk. Energies are from SCAN.

Lattice parameters (Å, degrees): 3.0268 3.0268 24.5723 90.00 90.00 120.00
With the nearest neighbours (Å) after each atom.
Space group R-3m (No. 166, hexagonal axes)
Asymmetric unit:
Os 0.0000 0.0000 0.0000 x3  2 Se 2.33
Ru 0.0000 0.0000 0.5000 x3  6 Se 2.49
Se 0.0000 0.0000 0.0946 x6  1 Os 2.33, 3 Ru 2.49

Output
Raw total energy, eV per cell: -434.440
E_form (uncorrected), eV/atom: 0.5124
Energy relative to the lowest polymorph listed for this composition, meV/atom: 3
Size of the total moment, μB per cell: 0.0

=====

[4]
Here is a PBEsol-optimized structure of OsRuSe2 from Alexandria via LeMat-Bulk. Energies are from SCAN.

Lattice parameters (Å, degrees): 6.1872 6.1872 6.1872 90.00 90.00 90.00
With the nearest neighbours (Å) after each atom.
Space group Fm-3m (No. 225)
Asymmetric unit:
Os 0.0000 0.0000 0.0000 x4  8 Se 2.68
Ru 0.0000 0.0000 0.5000 x4  8 Se 2.68
Se 0.2500 0.2500 0.2500 x8  4 Ru 2.68, 4 Os 2.68

Output
Raw total energy, eV per cell: -577.365
E_form (uncorrected), eV/atom: 0.6304
Energy relative to the lowest polymorph listed for this composition, meV/atom: 121
Size of the total moment, μB per cell: 0.0

=====

[5]
Here is a PBEsol-optimized structure of OsRuSe2 from Alexandria via LeMat-Bulk. Energies are from SCAN.

Lattice parameters (Å, degrees): 2.8827 4.9467 8.6194 90.00 90.00 90.00
With the nearest neighbours (Å) after each atom.
Space group Cmmm (No. 65)
Asymmetric unit:
Os 0.0000 0.0000 0.0000 x2  4 Se 2.62, 6 Os 2.86-2.88
Ru 0.0000 0.0000 0.5000 x2  4 Se 2.57, 4 Ru 2.86
Se 0.0000 0.5000 0.2533 x4  2 Ru 2.57, 2 Os 2.62, 4 Se 2.86

Output
Raw total energy, eV per cell: -285.817
E_form (uncorrected), eV/atom: 0.9887
Energy relative to the lowest polymorph listed for this composition, meV/atom: 480
Size of the total moment, μB per cell: 0.0

=====

[6]
Here is a PBEsol-optimized structure of OsRu2Se from Alexandria via LeMat-Bulk. Energies are from SCAN.

Lattice parameters (Å, degrees): 3.8899 3.8899 7.4252 90.00 90.00 90.00
With the nearest neighbours (Å) after each atom.
Space group I-4m2 (No. 119)
Asymmetric unit:
Os 0.0000 0.0000 0.0000 x2  4 Se 2.69, 8 Ru 2.69-2.75
Ru 0.0000 0.0000 0.5000 x2  4 Se 2.69, 4 Ru 2.69, 4 Os 2.75
Ru 0.0000 0.5000 0.2500 x2  4 Ru 2.69, 4 Os 2.69, 4 Se 2.75
Se 0.0000 0.5000 0.7500 x2  8 Ru 2.69-2.75, 4 Os 2.69

Output
Raw total energy, eV per cell: -318.100
E_form (uncorrected), eV/atom: 0.6402
Size of the total moment, μB per cell: 0.0

=====

[7]
Here is a PBEsol-optimized structure of OsRu2Se from Alexandria via LeMat-Bulk. Energies are from SCAN.

Lattice parameters (Å, degrees): 3.8796 2.8194 10.2977 90.00 90.00 90.00
With the nearest neighbours (Å) after each atom.
Space group Amm2 (No. 38)
Asymmetric unit:
Os 0.0000 0.0000 0.0000 x2  2 Se 2.49, 5 Ru 2.64-2.68
Ru 0.0000 0.0000 0.7437 x2  4 Se 2.58, 3 Os 2.64-2.88, 6 Ru 2.80-2.82
Ru 0.5000 0.0000 0.3832 x2  1 Se 2.39
Se 0.5000 0.0000 0.1514 x2  5 Ru 2.39-2.58, 2 Os 2.49

Output
Raw total energy, eV per cell: -320.264
E_form (uncorrected), eV/atom: 0.3697
Size of the total moment, μB per cell: 0.0

=====

[8]
Here is a PBEsol-optimized structure of OsRuSe2 from Alexandria via LeMat-Bulk. Energies are from SCAN.

Lattice parameters (Å, degrees): 2.9865 2.9865 23.2257 90.00 90.00 120.00
With the nearest neighbours (Å) after each atom.
Space group R-3m (No. 166, hexagonal axes)
Asymmetric unit:
Os 0.0000 0.0000 0.0000 x3  6 Se 2.61
Ru 0.0000 0.0000 0.5000 x3  6 Se 2.58
Se 0.0000 0.0000 0.2491 x6  3 Ru 2.58, 3 Os 2.61

Output
Raw total energy, eV per cell: -434.481
E_form (uncorrected), eV/atom: 0.5090
Energy relative to the lowest polymorph listed for this composition, meV/atom: 0
Size of the total moment, μB per cell: 0.0

=====

[9]
Here is a PBEsol-optimized structure of OsRu2Se from Alexandria via LeMat-Bulk. Energies are from SCAN.

Lattice parameters (Å, degrees): 2.8988 4.3850 8.7790 90.00 90.00 90.00
With the nearest neighbours (Å) after each atom.
Space group Immm (No. 71)
Asymmetric unit:
Os 0.0000 0.0000 0.0000 x2  4 Se 2.63, 4 Ru 2.80, 2 Os 2.90
Ru 0.0000 0.5000 0.2269 x4  2 Se 2.46, 4 Ru 2.66
Se 0.0000 0.0000 0.5000 x2  4 Ru 2.46, 4 Os 2.63

Output
Raw total energy, eV per cell: -319.006
E_form (uncorrected), eV/atom: 0.5269
Size of the total moment, μB per cell: 0.0

=====

[10]
Here is a PBEsol-optimized structure of OsRuSe3 from Alexandria via LeMat-Bulk. Energies are from SCAN.

Lattice parameters (Å, degrees): 4.7678 4.7678 4.7678 90.00 90.00 90.00
With the nearest neighbours (Å) after each atom.
Space group Pm-3m (No. 221)
Asymmetric unit:
Os 0.0000 0.0000 0.0000 x1  6 Se 2.38
Ru 0.5000 0.5000 0.5000 x1  12 Se 3.37
Se 0.0000 0.0000 0.5000 x3  2 Os 2.38

Output
Raw total energy, eV per cell: -160.413
E_form (uncorrected), eV/atom: 1.3056
Size of the total moment, μB per cell: 2.0

=====

[11]
Here is a PBEsol-optimized structure of Os2RuSe from Alexandria via LeMat-Bulk. Energies are from SCAN.

Lattice parameters (Å, degrees): 2.7974 4.5182 4.5883 90.00 90.00 90.00
With the nearest neighbours (Å) after each atom.
Space group Pmmm (No. 47)
Asymmetric unit:
Os 0.0000 0.0000 0.0000 x1  6 Os 2.66-2.80, 4 Se 2.69
Os 0.5000 0.5000 0.0000 x1  6 Os 2.66-2.80, 4 Ru 2.69
Ru 0.0000 0.5000 0.5000 x1  4 Se 2.66, 4 Os 2.69, 2 Ru 2.80
Se 0.5000 0.0000 0.5000 x1  4 Ru 2.66, 4 Os 2.69, 2 Se 2.80

Output
Raw total energy, eV per cell: -195.539
E_form (uncorrected), eV/atom: 0.7814
Size of the total moment, μB per cell: 1.4

=====

[12]
Here is a PBEsol-optimized structure of Sn2OsRuSe from Alexandria via LeMat-Bulk. Energies are from SCAN.

Lattice parameters (Å, degrees): 5.0321 5.0321 4.6536 90.00 90.00 90.00
With the nearest neighbours (Å) after each atom.
Space group P4/mmm (No. 123)
Asymmetric unit:
Sn 0.0000 0.5000 0.0000 x2  2 Ru 2.52
Os 0.0000 0.0000 0.5000 x1  2 Ru 2.33
Ru 0.0000 0.0000 0.0000 x1  2 Os 2.33, 4 Sn 2.52
Se 0.5000 0.5000 0.5000 x1  8 Sn 3.43, 4 Os 3.56

Output
Raw total energy, eV per cell: -194.046
E_form (uncorrected), eV/atom: 0.9162
Size of the total moment, μB per cell: 1.5